The following is a DFT calculation (PBE-GGA) of crystalline MgTl2Au at its relaxed geometry.

Values from the calculation:
For the energy above the most stable polymorph in this dataset, the calculation gives 0.1560 eV/atom. Its density of states at the Fermi level is 0.91 states/eV/cell. The formation energy is -11 meV per atom.

Cell lengths 6.268, 6.268, 3.419 Å; angles 104.85, 104.85, 120.57 degrees
Sites, in units of the cell vectors:
Mg (0.000, 0.000, 0.000)
Tl (0.000, 0.500, 0.500)
Tl (0.500, 0.000, 0.500)
Au (0.500, 0.500, 0.000)

***

The following is a DFT calculation (PBE-GGA) of crystalline AgPt2Br at its relaxed geometry.

Values from the calculation:
For the formation energy (no corrections), the calculation gives 287 meV per atom. For the energy above the most stable polymorph in this dataset, the calculation gives 0.0863 eV/atom. Its density of states at the Fermi level is 0.30 states/eV/cell.

Cell lengths 3.382, 3.382, 6.879 Å; angles 90.00, 90.00, 90.00 degrees
Sites, in units of the cell vectors:
Ag (0.000, 0.000, 0.000)
Pt (0.000, 0.000, 0.585)
Pt (0.500, 0.500, 0.737)
Br (0.500, 0.500, 0.271)

***

The following is a DFT calculation (PBE-GGA) of crystalline CSe2 at its relaxed geometry.

Values from the calculation:
For the formation energy (no corrections), the calculation gives 1120 meV per atom. For the energy above the most stable polymorph in this dataset, the calculation gives 0.5599 eV/atom. Its density of states at the Fermi level is 0.42 states/eV/cell.

Cell lengths 6.029, 6.029, 7.969 Å; angles 125.75, 125.75, 32.47 degrees
Sites, in units of the cell vectors:
C (0.187, 0.187, 0.341)
C (0.813, 0.813, 0.659)
Se (0.280, 0.280, 0.921)
Se (0.387, 0.387, 0.609)
Se (0.613, 0.613, 0.391)
Se (0.720, 0.720, 0.079)

***

The following is a DFT calculation (PBE-GGA) of crystalline Pm8Y3 at its relaxed geometry.

Values from the calculation:
For the energy above the most stable polymorph in this dataset, the calculation gives 0.1395 eV/atom. Its density of states at the Fermi level is 12.26 states/eV/cell. The formation energy is 489 meV per atom.

Cell lengths 7.291, 7.291, 7.291 Å; angles 83.92, 83.92, 83.92 degrees
Sites, in units of the cell vectors:
Pm (0.111, 0.111, 0.111)
Pm (0.194, 0.351, 0.614)
Pm (0.351, 0.614, 0.194)
Pm (0.386, 0.806, 0.649)
Pm (0.614, 0.194, 0.351)
Pm (0.649, 0.386, 0.806)
Pm (0.806, 0.649, 0.386)
Pm (0.889, 0.889, 0.889)
Y (0.000, 0.000, 0.500)
Y (0.000, 0.500, 0.000)
Y (0.500, 0.000, 0.000)